Entry from Alexandria via LeMat-Bulk: a relaxed RbVF3 crystal (GGA+U).

Cell lengths 23.067, 5.629, 7.623 Å; angles 90.00, 160.48, 90.00 degrees
Element x y z (fractional)
V: 0.574 0.742 0.800
V: 0.426 0.258 0.200
V: 0.926 0.242 0.700
V: 0.074 0.758 0.300
Rb: 0.185 0.204 0.941
Rb: 0.815 0.796 0.059
Rb: 0.315 0.704 0.559
Rb: 0.685 0.296 0.441
F: 0.330 0.927 0.045
F: 0.670 0.073 0.955
F: 0.170 0.427 0.455
F: 0.830 0.573 0.545
F: 0.453 0.418 0.527
F: 0.547 0.582 0.473
F: 0.047 0.918 0.973
F: 0.953 0.082 0.027
F: 0.589 0.823 0.110
F: 0.411 0.177 0.890
F: 0.911 0.323 0.390
F: 0.089 0.677 0.610

Output
SG: P2_1/c, No. 14
Uncorrected energy in eV per atom: -5.4902